GaReS2N: optimized geometry, PBE.

Formation energy without anion corrections = 1.000 eV per atom
Density = 6.72 g/cm3
Crystal system = tetragonal
Total magnetization = 0.00 μB/atom
V = 16.5 Å³/atom
E above lowest polymorph = 837 meV/atom

abc: 4.6797 3.7677 4.6797
angles: 90.00 90.00 90.00
Closest atoms and distances in Å follow each position.
Atoms (fractional coordinates):
Re  0.0000  0.5000  0.0000  2 N 1.88
S  0.0000  0.0000  0.5000  2 N 2.34
S  0.5000  0.0000  0.0000  2 N 2.34
Ga  0.5000  0.5000  0.5000  8 S 3.00, 4 Re 3.31
N  0.0000  0.0000  0.0000  2 Re 1.88

GaReSN2: optimized geometry, PBE.

Formation energy without anion corrections = 1.740 eV per atom
Density = 7.53 g/cm3
Crystal system = tetragonal
Total magnetization = 0.31 μB/atom
V = 13.9 Å³/atom
E above lowest polymorph = 1409 meV/atom

abc: 3.8235 3.8235 4.7700
angles: 90.00 90.00 90.00
Closest atoms and distances in Å follow each position.
Atoms (fractional coordinates):
Re  0.5000  0.5000  0.5000  4 S 2.70
S  0.0000  0.0000  0.5000  2 Ga 2.39
Ga  0.0000  0.0000  0.0000  4 N 1.91
N  0.0000  0.5000  0.0000  2 Ga 1.91
N  0.5000  0.0000  0.0000  2 Ga 1.91

GaReS2N: optimized geometry, PBE.

Formation energy without anion corrections = 1.406 eV per atom
Density = 6.78 g/cm3
Crystal system = tetragonal
Total magnetization = 0.58 μB/atom
V = 16.4 Å³/atom
E above lowest polymorph = 1243 meV/atom

abc: 4.8282 4.8282 3.5087
angles: 90.00 90.00 90.00
Closest atoms and distances in Å follow each position.
Atoms (fractional coordinates):
Re  0.5000  0.5000  0.5000  8 S 2.98
S  0.0000  0.5000  0.0000  2 Ga 2.41
S  0.5000  0.0000  0.0000  2 Ga 2.41
Ga  0.0000  0.0000  0.0000  2 N 1.75
N  0.0000  0.0000  0.5000  2 Ga 1.75

GaReSN2: optimized geometry, PBE.

Formation energy without anion corrections = 0.330 eV per atom
Density = 6.90 g/cm3
Crystal system = tetragonal
Total magnetization = 0.00 μB/atom
V = 15.2 Å³/atom
E above lowest polymorph = 0 meV/atom

abc: 3.8436 3.8436 5.1442
angles: 90.00 90.00 90.00
Closest atoms and distances in Å follow each position.
Atoms (fractional coordinates):
Re  0.0000  0.0000  0.0000  4 N 1.92
S  0.0000  0.0000  0.5000  2 Re 2.57, 4 Ga 2.72
Ga  0.5000  0.5000  0.5000  4 S 2.72
N  0.0000  0.5000  0.0000  2 Re 1.92
N  0.5000  0.0000  0.0000  2 Re 1.92

Sc2GaReN: optimized geometry, PBE.

Formation energy without anion corrections = -0.320 eV per atom
Density = 7.75 g/cm3
Crystal system = tetragonal
Total magnetization = 0.00 μB/atom
V = 15.4 Å³/atom

abc: 4.3095 4.1502 4.3095
angles: 90.00 90.00 90.00
Closest atoms and distances in Å follow each position.
Atoms (fractional coordinates):
Sc  0.0000  0.0000  0.5000  2 N 2.15
Sc  0.5000  0.0000  0.0000  2 N 2.15
Re  0.5000  0.5000  0.5000  8 Sc 2.99, 4 Ga 3.05
Ga  0.0000  0.5000  0.0000  2 N 2.08
N  0.0000  0.0000  0.0000  2 Ga 2.08, 4 Sc 2.15

GaReSeN2: optimized geometry, PBE.

Formation energy without anion corrections = 0.349 eV per atom
Density = 7.42 g/cm3
Crystal system = tetragonal
Total magnetization = 0.00 μB/atom
V = 16.2 Å³/atom
E above lowest polymorph = 0 meV/atom

abc: 3.8623 3.8623 5.4452
angles: 90.00 90.00 90.00
Closest atoms and distances in Å follow each position.
Atoms (fractional coordinates):
Re  0.0000  0.0000  0.0000  4 N 1.93
Ga  0.5000  0.5000  0.5000  4 Se 2.73
Se  0.0000  0.0000  0.5000  2 Re 2.72, 4 Ga 2.73
N  0.0000  0.5000  0.0000  2 Re 1.93
N  0.5000  0.0000  0.0000  2 Re 1.93

GaReSeN2: optimized geometry, PBE.

Formation energy without anion corrections = 1.806 eV per atom
Density = 7.80 g/cm3
Crystal system = tetragonal
Total magnetization = 0.25 μB/atom
V = 15.5 Å³/atom
E above lowest polymorph = 1457 meV/atom

abc: 3.8711 3.8711 5.1561
angles: 90.00 90.00 90.00
Closest atoms and distances in Å follow each position.
Atoms (fractional coordinates):
Re  0.5000  0.5000  0.5000  4 Se 2.74
Ga  0.0000  0.0000  0.0000  4 N 1.94
Se  0.0000  0.0000  0.5000  2 Ga 2.58, 4 Re 2.74
N  0.0000  0.5000  0.0000  2 Ga 1.94
N  0.5000  0.0000  0.0000  2 Ga 1.94

Ga2ReSeN: optimized geometry, PBE.

Formation energy without anion corrections = 0.316 eV per atom
Density = 7.13 g/cm3
Crystal system = tetragonal
Total magnetization = 0.00 μB/atom
V = 19.5 Å³/atom

abc: 5.0871 3.7677 5.0871
angles: 90.00 90.00 90.00
Closest atoms and distances in Å follow each position.
Atoms (fractional coordinates):
Re  0.0000  0.0000  0.0000  2 N 1.88
Ga  0.0000  0.0000  0.5000  2 Re 2.54
Ga  0.5000  0.0000  0.0000  2 Re 2.54
Se  0.5000  0.5000  0.5000  8 Ga 3.17
N  0.0000  0.5000  0.0000  2 Re 1.88